VASP calculation (PBE-GGA) on Ac3SbPt8 after structural relaxation.

a b c (Å): 9.7176 9.7176 9.7176
angles (deg): 34.13 34.13 34.13
Last column: nearest neighbours and their distance in Å.
Element x y z (fractional)
Ac  0.0000  0.0000  0.0000  6 Pt 3.12-3.31, 3 Sb 3.29
Ac  0.1333  0.1333  0.1333  12 Pt 3.25-3.36
Ac  0.5272  0.5272  0.5272  9 Pt 3.09-3.45
Sb  0.6659  0.6659  0.6659  3 Pt 2.72
Pt  0.0740  0.0740  0.5646  6 Pt 2.77-2.91, 2 Ac 3.09
Pt  0.0740  0.5646  0.0740  6 Pt 2.77-2.91, 2 Ac 3.09
Pt  0.0884  0.5702  0.5702  1 Sb 2.72, 6 Pt 2.75-2.96
Pt  0.3207  0.3207  0.3207  6 Pt 2.80-2.91
Pt  0.5646  0.0740  0.0740  6 Pt 2.77-2.91, 2 Ac 3.09
Pt  0.5702  0.0884  0.5702  1 Sb 2.72, 6 Pt 2.75-2.96
Pt  0.5702  0.5702  0.0884  1 Sb 2.72, 6 Pt 2.75-2.96
Pt  0.8236  0.8236  0.8236  6 Pt 2.77-2.79

Output
- total energy (eV per atom) = -6.287
- V (A^3/atom) = 21.47
- DOS(E_F) (states/eV/atom) = 0.56
- energy relative to the elements, uncorrected (meV per atom) = -889